Entry 1:
The following is a DFT calculation (GGA-PBE) of crystalline CdAgPd2 at its relaxed geometry. Values from VASP.

Density (g/cm3): 10.5
Formation energy from the elements (kJ/mol of atoms): -26

```
&SYSTEM
  ibrav = 0, nat = 16, ntyp = 3
/
ATOMIC_SPECIES
Ag 107.87 Ag.upf
Cd 112.41 Cd.upf
Pd 106.42 Pd.upf
CELL_PARAMETERS angstrom
-0.8353 6.0500 0.0682
-3.9495 -0.5174 -2.4754
-4.9742 -0.7781 8.0991
ATOMIC_POSITIONS crystal
Ag 0.2500 0.2500 0.1023
Ag 0.7500 0.7500 0.3977
Ag 0.2500 0.2500 0.6023
Ag 0.7500 0.7500 0.8977
Cd 0.7500 0.2500 0.1012
Cd 0.2500 0.7500 0.3988
Cd 0.7500 0.2500 0.6012
Cd 0.2500 0.7500 0.8988
Pd 0.0005 0.7500 0.1504
Pd 0.4995 0.7500 0.1504
Pd 0.9995 0.2500 0.3496
Pd 0.5005 0.2500 0.3496
Pd 0.4995 0.7500 0.6504
Pd 0.0005 0.7500 0.6504
Pd 0.5005 0.2500 0.8496
Pd 0.9995 0.2500 0.8496
```



Entry 2:
The following is a DFT calculation (GGA-PBE) of crystalline CdAgPd2 at its relaxed geometry. Values from VASP.

Density (g/cm3): 10.6
Formation energy from the elements (kJ/mol of atoms): -26

```
&SYSTEM
  ibrav = 0, nat = 4, ntyp = 3
/
ATOMIC_SPECIES
Ag 107.87 Ag.upf
Cd 112.41 Cd.upf
Pd 106.42 Pd.upf
CELL_PARAMETERS angstrom
-1.3413 3.8073 -1.3433
-1.8277 0.6896 3.7793
3.1856 1.5651 1.2550
ATOMIC_POSITIONS crystal
Ag 0.0000 0.0000 0.0000
Cd 0.5000 0.5000 0.0000
Pd 0.5000 0.0000 0.5000
Pd 0.0000 0.5000 0.5000
```



Entry 3:
The following is a DFT calculation (GGA-PBE) of crystalline CdAgPd2 at its relaxed geometry. Values from VASP.

Density (g/cm3): 10.7
Formation energy from the elements (kJ/mol of atoms): -25

```
&SYSTEM
  ibrav = 0, nat = 16, ntyp = 3
/
ATOMIC_SPECIES
Ag 107.87 Ag.upf
Cd 112.41 Cd.upf
Pd 106.42 Pd.upf
CELL_PARAMETERS angstrom
-1.3824 5.2429 -2.2464
-5.4381 -0.2011 2.8770
3.0215 3.3439 5.9449
ATOMIC_POSITIONS crystal
Ag 0.2511 0.2500 0.0003
Ag 0.7511 0.7500 0.4997
Ag 0.2489 0.2500 0.5003
Ag 0.7489 0.7500 0.9997
Cd 0.2515 0.7500 0.0008
Cd 0.7515 0.2500 0.4992
Cd 0.2485 0.7500 0.5008
Cd 0.7485 0.2500 0.9992
Pd 0.9993 0.0000 0.2485
Pd 0.9993 0.4999 0.2485
Pd 0.4993 0.0000 0.2515
Pd 0.4993 0.5001 0.2515
Pd 0.5007 0.0000 0.7485
Pd 0.5007 0.4999 0.7485
Pd 0.0007 0.0000 0.7515
Pd 0.0007 0.5001 0.7515
```



Entry 4:
The following is a DFT calculation (GGA-PBE) of crystalline CdAgPd2 at its relaxed geometry. Values from VASP.

Density (g/cm3): 10.5
Formation energy from the elements (kJ/mol of atoms): -24

```
&SYSTEM
  ibrav = 0, nat = 4, ntyp = 3
/
ATOMIC_SPECIES
Ag 107.87 Ag.upf
Cd 112.41 Cd.upf
Pd 106.42 Pd.upf
CELL_PARAMETERS angstrom
-0.8664 -2.3491 1.7829
2.7740 -0.0186 1.3236
-2.3528 4.6601 4.9966
ATOMIC_POSITIONS crystal
Ag 0.0000 0.0000 0.0000
Cd 0.0000 0.0000 0.5000
Pd 0.5000 0.5000 0.2499
Pd 0.5000 0.5000 0.7501
```